Entry 1:
Here is an optimized crystal structure of HfBTe from the Open Quantum Materials Database. Energies are from PBE.

Cell lengths 6.0855, 6.0855, 6.0855 Å; angles 90.00, 90.00, 90.00 degrees
Space group F-43m (No. 216)
Unique sites:
Hf 0.0000 0.0000 0.0000 x4
B 0.2500 0.2500 0.2500 x4
Te 0.0000 0.0000 0.5000 x4

Total DFT energy (no corrections)   -0.21756 hartree per atom

Entry 2:
Here is an optimized crystal structure of HfB2Te from the Open Quantum Materials Database. Energies are from PBE.

Cell lengths 6.4544, 6.4544, 6.4544 Å; angles 90.00, 90.00, 90.00 degrees
Space group F-43m (No. 216)
Unique sites:
Hf 0.0000 0.0000 0.0000 x4
B 0.0000 0.0000 0.5000 x4
B 0.2500 0.2500 0.2500 x4
Te 0.2500 0.2500 0.7500 x4

Total DFT energy (no corrections)   -0.19014 hartree per atom